(1)
DFT (GGA-PBE) results for a geometry-optimized Pm15DyY4 structure.

Computed properties:
Uncorrected energy = -0.1865 hartree per atom
SG = P4/mmm (123)

Cell: 5.1444 5.1444 25.6348 Å, 90.00 90.00 90.00°
With the nearest neighbours (Å) after each atom.
Positions (direct):
Pm: 0.5000 0.5000 0.0000  8 Pm 3.62, 4 Dy 3.64
Pm: 0.5000 0.5000 0.1995  8 Pm 3.63, 4 Y 3.64
Pm: 0.5000 0.5000 0.3999  8 Pm 3.63, 4 Y 3.64
Pm: 0.5000 0.5000 0.6001  8 Pm 3.63, 4 Y 3.64
Pm: 0.5000 0.5000 0.8005  8 Pm 3.63, 4 Y 3.64
Pm: 0.5000 0.0000 0.0995  2 Dy 3.62, 8 Pm 3.62-3.64, 2 Y 3.63
Pm: 0.5000 0.0000 0.2997  4 Y 3.63, 8 Pm 3.63-3.64
Pm: 0.5000 0.0000 0.5000  8 Pm 3.63-3.64, 4 Y 3.63
Pm: 0.5000 0.0000 0.7003  4 Y 3.63, 8 Pm 3.63-3.64
Pm: 0.5000 0.0000 0.9005  2 Dy 3.62, 8 Pm 3.62-3.64, 2 Y 3.63
Pm: 0.0000 0.5000 0.0995  2 Dy 3.62, 8 Pm 3.62-3.64, 2 Y 3.63
Pm: 0.0000 0.5000 0.2997  4 Y 3.63, 8 Pm 3.63-3.64
Pm: 0.0000 0.5000 0.5000  8 Pm 3.63-3.64, 4 Y 3.63
Pm: 0.0000 0.5000 0.7003  4 Y 3.63, 8 Pm 3.63-3.64
Pm: 0.0000 0.5000 0.9005  2 Dy 3.62, 8 Pm 3.62-3.64, 2 Y 3.63
Dy: 0.0000 0.0000 0.0000  12 Pm 3.62-3.64
Y: 0.0000 0.0000 0.1996  12 Pm 3.63-3.64
Y: 0.0000 0.0000 0.3999  12 Pm 3.63-3.64
Y: 0.0000 0.0000 0.6001  12 Pm 3.63-3.64
Y: 0.0000 0.0000 0.8004  12 Pm 3.63-3.64



(2)
DFT (GGA-PBE) results for a geometry-optimized Cs2K6Rb2Na structure.

Computed properties:
Uncorrected energy = -0.0375 hartree per atom
SG = P-1 (2)

Cell: 9.5830 13.4797 10.5525 Å, 130.68 111.51 59.86°
With the nearest neighbours (Å) after each atom.
Positions (direct):
Cs: 0.3315 0.3659 0.4590  1 Na 4.63, 5 K 4.67-5.13, 1 Rb 5.02
Cs: 0.6685 0.6341 0.5410  1 Na 4.63, 5 K 4.67-5.13, 1 Rb 5.02
K: 0.2508 0.8509 0.0130  1 Na 4.30, 5 K 4.47-4.76, 2 Rb 4.59-4.76
K: 0.2689 0.1009 0.8759  1 Na 4.35, 5 K 4.39-4.75, 2 Rb 4.62-4.85, 2 Cs 4.67-4.85
K: 0.0039 0.8172 0.5106  1 Na 4.17, 3 K 4.39-4.47, 1 Rb 4.63
K: 0.7311 0.8991 0.1241  1 Na 4.35, 5 K 4.39-4.75, 2 Rb 4.62-4.85, 2 Cs 4.67-4.85
K: 0.9961 0.1828 0.4894  1 Na 4.17, 3 K 4.39-4.47, 1 Rb 4.63
K: 0.7492 0.1491 0.9870  1 Na 4.30, 5 K 4.47-4.76, 2 Rb 4.59-4.76
Rb: 0.7531 0.4906 0.9917  6 K 4.59-4.97, 2 Rb 4.79-4.80, 1 Cs 5.02
Rb: 0.2469 0.5094 0.0083  6 K 4.59-4.97, 2 Rb 4.79-4.80, 1 Cs 5.02
Na: 0.5000 0.0000 0.5000  6 K 4.17-4.35, 2 Cs 4.63



(3)
DFT (GGA-PBE) results for a geometry-optimized Zn2PbBr structure.

Computed properties:
Uncorrected energy = -0.0733 hartree per atom
Relative energy among the computed polymorphs = 66 meV per atom
SG = Cmm2 (35)

Cell: 3.4753 3.4753 9.1243 Å, 90.00 90.00 115.84°
With the nearest neighbours (Å) after each atom.
Positions (direct):
Br: 0.0000 0.0000 0.4426  2 Zn 2.60
Pb: 0.5000 0.5000 0.7734  2 Zn 3.07
Zn: 0.0000 0.0000 0.0427  2 Zn 2.59
Zn: 0.5000 0.5000 0.2414  2 Zn 2.59, 2 Br 2.60



(4)
DFT (GGA-PBE) results for a geometry-optimized Pm3Sn3H structure.

Computed properties:
Uncorrected energy = -0.1787 hartree per atom
SG = C2/m (12)

Cell: 6.6093 6.6093 8.9517 Å, 95.72 95.72 109.70°
With the nearest neighbours (Å) after each atom.
Positions (direct):
Pm: 0.8322 0.8322 0.1226  2 H 2.38-2.43
Pm: 0.8911 0.5397 0.7266  1 H 2.36
Pm: 0.5397 0.8911 0.7266  1 H 2.36
Pm: 0.1089 0.4603 0.2734  1 H 2.36
Pm: 0.4603 0.1089 0.2734  1 H 2.36
Pm: 0.1678 0.1678 0.8774  2 H 2.38-2.43
Sn: 0.6376 0.6376 0.4081  3 Sn 2.88-3.11, 1 Pm 3.17
Sn: 0.1357 0.8643 0.5000  3 Sn 2.93-3.11, 4 Pm 3.13-3.24
Sn: 0.8643 0.1357 0.5000  3 Sn 2.93-3.11, 4 Pm 3.13-3.24
Sn: 0.2786 0.7214 0.0000  8 Pm 3.17-3.52, 2 H 3.39
Sn: 0.7214 0.2786 0.0000  8 Pm 3.17-3.52, 2 H 3.39
Sn: 0.3624 0.3624 0.5919  3 Sn 2.88-3.11, 1 Pm 3.17
H: 0.8459 0.8459 0.8589  4 Pm 2.36-2.43
H: 0.1541 0.1541 0.1411  4 Pm 2.36-2.43



(5)
DFT (GGA-PBE) results for a geometry-optimized Pm3P2O structure.

Computed properties:
Uncorrected energy = -0.2539 hartree per atom
SG = C2/c (15)

Cell: 5.7448 7.8833 6.8385 Å, 106.70 114.84 90.00°
With the nearest neighbours (Å) after each atom.
Positions (direct):
Pm: 0.4572 0.2500 0.0000  1 O 2.36
Pm: 0.5428 0.7500 0.0000  1 O 2.36
Pm: 0.1538 0.0778 0.3097  2 O 2.70, 4 P 2.84-2.88
Pm: 0.8441 0.4222 0.6903  2 O 2.70, 4 P 2.84-2.88
Pm: 0.1559 0.5778 0.3097  2 O 2.70, 4 P 2.84-2.88
Pm: 0.8462 0.9222 0.6903  2 O 2.70, 4 P 2.84-2.88
P: 0.6720 0.5858 0.3431  6 Pm 2.83-2.88
P: 0.6711 0.0858 0.3431  6 Pm 2.83-2.88
P: 0.3289 0.9142 0.6569  6 Pm 2.83-2.88
P: 0.3280 0.4142 0.6569  6 Pm 2.83-2.88
O: 0.9529 0.7500 0.0000  1 Pm 2.36
O: 0.0471 0.2500 0.0000  1 Pm 2.36



(6)
DFT (GGA-PBE) results for a geometry-optimized TbPm2PrEr2 structure.

Computed properties:
Uncorrected energy = -0.1693 hartree per atom
SG = Pnnm (58)

Cell: 5.6769 9.8725 7.0264 Å, 90.00 90.00 90.00°
With the nearest neighbours (Å) after each atom.
Positions (direct):
Tb: 0.5000 0.5000 0.0000  2 Pr 3.51, 6 Pm 3.72-3.74, 6 Er 3.72-3.73
Tb: 0.0000 0.0000 0.5000  2 Pr 3.51, 6 Pm 3.72-3.74, 6 Er 3.72-3.73
Pm: 0.5000 0.8332 0.2519  5 Er 3.28-3.53
Pm: 0.5000 0.1668 0.7481  5 Er 3.28-3.53
Pm: 0.0000 0.6668 0.7519  5 Er 3.28-3.53
Pm: 0.0000 0.3332 0.2481  5 Er 3.28-3.53
Pr: 0.0000 0.0000 0.0000  2 Tb 3.51, 6 Er 3.72-3.73, 6 Pm 3.72-3.73
Pr: 0.5000 0.5000 0.5000  2 Tb 3.51, 6 Er 3.72-3.73, 6 Pm 3.72-3.73
Er: 0.5000 0.1664 0.2500  5 Pm 3.28-3.53
Er: 0.0000 0.6664 0.2500  5 Pm 3.28-3.53
Er: 0.5000 0.8336 0.7500  5 Pm 3.28-3.53
Er: 0.0000 0.3336 0.7500  5 Pm 3.28-3.53



(7)
DFT (GGA-PBE) results for a geometry-optimized CaAc2Ir structure.

Computed properties:
Uncorrected energy = -0.1849 hartree per atom
Relative energy among the computed polymorphs = 157 meV per atom
SG = P4/mmm (123)

Cell: 3.7905 3.7905 10.0866 Å, 90.00 90.00 90.00°
With the nearest neighbours (Å) after each atom.
Positions (direct):
Ac: 0.0000 0.0000 0.8288  4 Ir 3.19, 1 Ac 3.45
Ac: 0.0000 0.0000 0.1712  4 Ir 3.19, 1 Ac 3.45
Ir: 0.5000 0.5000 0.0000  8 Ac 3.19
Ca: 0.5000 0.5000 0.5000  4 Ca 3.79



(8)
DFT (GGA-PBE) results for a geometry-optimized Li4TaPd5 structure.

Computed properties:
Uncorrected energy = -0.1819 hartree per atom
SG = P4/mmm (123)

Cell: 2.9895 2.9895 15.6211 Å, 90.00 90.00 90.00°
With the nearest neighbours (Å) after each atom.
Positions (direct):
Li: 0.0000 0.0000 0.2157  8 Pd 2.56-2.63
Li: 0.0000 0.0000 0.4042  8 Pd 2.59
Li: 0.0000 0.0000 0.5958  8 Pd 2.59
Li: 0.0000 0.0000 0.7843  8 Pd 2.56-2.63
Ta: 0.0000 0.0000 0.0000  8 Pd 2.78, 4 Ta 2.99
Pd: 0.5000 0.5000 0.1160  4 Li 2.63, 4 Ta 2.78
Pd: 0.5000 0.5000 0.3081  8 Li 2.56-2.59
Pd: 0.5000 0.5000 0.5000  8 Li 2.59
Pd: 0.5000 0.5000 0.6919  8 Li 2.56-2.59
Pd: 0.5000 0.5000 0.8840  4 Li 2.63, 4 Ta 2.78